Here is crystalline MgPbNO2 at its relaxed geometry from Alexandria. Energies are from PBE.

## Properties
Formation energy from raw total energies ... -0.261 eV per atom
Volume ... 69 Å³/f.u.
SG ... No. 123
Magnetization ... 3.0 μB/f.u.

Lattice parameters (Å, degrees): 4.036 4.036 4.239 90.00 90.00 90.00
Atoms (fractional coordinates):
Mg 0.000 0.000 0.000
Pb 0.500 0.500 0.500
N 0.000 0.000 0.500
O 0.000 0.500 0.000
O 0.500 0.000 0.000

***

Here is crystalline MgPdN2O at its relaxed geometry from Alexandria. Energies are from PBE.

## Properties
Formation energy from raw total energies ... 1.274 eV per atom
Volume ... 59 Å³/f.u.
SG ... No. 123
Magnetization ... 0.0 μB/f.u.

Lattice parameters (Å, degrees): 3.957 3.957 3.774 90.00 90.00 90.00
Atoms (fractional coordinates):
Mg 0.000 0.000 0.000
Pd 0.500 0.500 0.500
N 0.000 0.500 0.000
N 0.500 0.000 0.000
O 0.000 0.000 0.500

***

Here is crystalline MgPdN2O at its relaxed geometry from Alexandria. Energies are from PBE.

## Properties
Formation energy from raw total energies ... 0.822 eV per atom
Volume ... 63 Å³/f.u.
SG ... No. 123
Magnetization ... 1.2 μB/f.u.

Lattice parameters (Å, degrees): 3.845 3.845 4.258 90.00 90.00 90.00
Atoms (fractional coordinates):
Mg 0.000 0.000 0.000
Pd 0.500 0.500 0.500
N 0.000 0.500 0.500
N 0.500 0.000 0.500
O 0.500 0.500 0.000

***

Here is crystalline Pm6Mg2NO at its relaxed geometry from Alexandria. Energies are from PBE.

## Properties
Formation energy from raw total energies ... -0.921 eV per atom
Volume ... 251 Å³/f.u.
SG ... No. 139
Magnetization ... 0.0 μB/f.u.

Lattice parameters (Å, degrees): 7.076 7.076 7.076 119.94 119.94 90.10
Atoms (fractional coordinates):
Pm 0.248 0.248 0.000
Pm 0.248 0.248 0.495
Pm 0.248 0.752 0.000
Pm 0.752 0.248 0.000
Pm 0.752 0.752 0.000
Pm 0.752 0.752 0.505
Mg 0.250 0.750 0.500
Mg 0.750 0.250 0.500
N 0.000 0.000 0.000
O 0.500 0.500 0.000

***

Here is crystalline MgPtNO2 at its relaxed geometry from Alexandria. Energies are from PBE.

## Properties
Formation energy from raw total energies ... 0.627 eV per atom
Volume ... 59 Å³/f.u.
SG ... No. 123
Magnetization ... 3.4 μB/f.u.

Lattice parameters (Å, degrees): 3.757 3.757 4.211 90.00 90.00 90.00
Atoms (fractional coordinates):
Mg 0.000 0.000 0.000
Pt 0.500 0.500 0.500
N 0.000 0.000 0.500
O 0.000 0.500 0.000
O 0.500 0.000 0.000

***

Here is crystalline MgPtNO2 at its relaxed geometry from Alexandria. Energies are from PBE.

## Properties
Formation energy from raw total energies ... -0.048 eV per atom
Volume ... 64 Å³/f.u.
SG ... No. 123
Magnetization ... 0.2 μB/f.u.

Lattice parameters (Å, degrees): 4.179 4.179 3.670 90.00 90.00 90.00
Atoms (fractional coordinates):
Mg 0.000 0.000 0.000
Pt 0.500 0.500 0.500
N 0.500 0.500 0.000
O 0.000 0.500 0.500
O 0.500 0.000 0.500